No. 1
Crystalline Rb2S13 at its relaxed geometry. Source: the Alexandria database, functional GGA-PBE.

Properties
spin magnetization: 0.0 μB/f.u.
SG: No. 166
final energy: -56.6 eV for the cell shown

a = 9.1966 Å, b = 9.1966 Å, c = 9.1966 Å
α = 54.29°, β = 54.29°, γ = 54.29°
Last column: nearest neighbours and their distance in Å.
Fractional coordinates of all 15 atoms:
Rb: 0.1346 0.1346 0.1346  4 S 3.16-3.45
Rb: 0.8654 0.8654 0.8654  4 S 3.16-3.45
S: 0.0000 0.0000 0.0000  2 Rb 3.16, 6 S 3.17
S: 0.1625 0.5560 0.5560  2 S 2.11
S: 0.2541 0.2541 0.6566  2 S 2.11
S: 0.2541 0.6566 0.2541  2 S 2.11
S: 0.3434 0.7459 0.7459  2 S 2.11
S: 0.4440 0.4440 0.8375  2 S 2.11
S: 0.4440 0.8375 0.4440  2 S 2.11
S: 0.5560 0.1625 0.5560  2 S 2.11
S: 0.5560 0.5560 0.1625  2 S 2.11
S: 0.6566 0.2541 0.2541  2 S 2.11
S: 0.7459 0.3434 0.7459  2 S 2.11
S: 0.7459 0.7459 0.3434  2 S 2.11
S: 0.8375 0.4440 0.4440  2 S 2.11


No. 2
Crystalline Rb2S3 at its relaxed geometry. Source: the Alexandria database, functional GGA-PBE.

Properties
spin magnetization: 0.0 μB/f.u.
distance to the lowest polymorph of the same formula: 20 meV per atom
SG: No. 43
final energy: -36.3 eV for the cell shown

a = 9.5728 Å, b = 8.0010 Å, c = 11.9850 Å
α = 52.78°, β = 41.72°, γ = 85.50°
Last column: nearest neighbours and their distance in Å.
Fractional coordinates of all 10 atoms:
Rb: 0.0812 0.4188 0.1430  7 S 3.31-3.60
Rb: 0.1070 0.8930 0.1688  7 S 3.31-3.60
Rb: 0.4188 0.0812 0.3570  7 S 3.31-3.60
Rb: 0.8930 0.1070 0.8312  7 S 3.31-3.60
S: 0.1232 0.3774 0.8485  1 S 2.10
S: 0.3774 0.1232 0.6508  1 S 2.10
S: 0.4015 0.5992 0.1268  1 S 2.10
S: 0.4900 0.4900 0.5100  2 S 2.10
S: 0.5992 0.4015 0.8726  1 S 2.10
S: 0.7400 0.7400 0.7600  2 S 2.10


No. 3
Crystalline RbS4 at its relaxed geometry. Source: the Alexandria database, functional GGA-PBE.

Properties
spin magnetization: 0.0 μB/f.u.
distance to the lowest polymorph of the same formula: 0 meV per atom
SG: No. 12
final energy: -19.2 eV for the cell shown

a = 5.7122 Å, b = 5.7122 Å, c = 5.9369 Å
α = 107.63°, β = 107.63°, γ = 65.99°
Last column: nearest neighbours and their distance in Å.
Fractional coordinates of all 5 atoms:
Rb: 0.0000 0.0000 0.0000  12 S 3.52-3.59
S: 0.3210 0.3210 0.8225  1 S 1.95
S: 0.3981 0.3981 0.1742  1 S 1.95
S: 0.6019 0.6019 0.8258  1 S 1.95
S: 0.6790 0.6790 0.1775  1 S 1.95


The records above give, respectively, energy relative to the elements, uncorrected values of -0.066, -0.771, -0.340 eV per atom.